Record 1
A plane-wave DFT calculation with PBE was carried out for a relaxed structure of BaLa3Ag.

```
BaLa3Ag
1.0
6.020 0.000 0.000
0.000 6.020 0.000
0.000 0.000 6.020
Ba La Ag
1 3 1
Cartesian
0.000 0.000 0.000
0.000 3.010 3.010
3.010 0.000 3.010
3.010 3.010 0.000
3.010 3.010 3.010
```

Summary:
ΔH_f (0 K): 0.17 eV per atom
Spin magnetization: 0.002 μB/cell
Fermi-level density of states: 14.46 states/eV/cell
Uncorrected energy: -3.7429 eV/atom

---

Record 2
A plane-wave DFT calculation with PBE was carried out for a relaxed structure of Ba2LaAg.

```
Ba2LaAg
1.0
-4.877 4.877 3.600
4.877 -4.877 3.600
4.877 4.877 -3.600
Ba La Ag
4 2 2
Cartesian
7.316 1.898 -0.900
1.898 2.439 0.900
-2.439 2.979 2.700
2.979 2.439 4.500
4.877 0.000 1.800
0.000 0.000 3.600
0.000 0.000 0.000
0.000 4.877 1.800
```

Summary:
ΔH_f (0 K): 0.18 eV per atom
Spin magnetization: 0.000 μB/cell
Fermi-level density of states: 9.85 states/eV/cell
Uncorrected energy: -2.7234 eV/atom
Offset from the most stable computed form: 236 meV per atom

---

Record 3
A plane-wave DFT calculation with PBE was carried out for a relaxed structure of BaLaAg.

```
BaLaAg
1.0
-1.991 1.991 7.121
1.991 -1.991 7.121
1.991 1.991 -7.121
Ba La Ag
1 1 1
Cartesian
0.000 0.000 0.000
0.000 0.000 10.453
0.000 0.000 4.894
```

Summary:
ΔH_f (0 K): -0.08 eV per atom
Spin magnetization: 0.001 μB/cell
Fermi-level density of states: 4.34 states/eV/cell
Uncorrected energy: -3.3179 eV/atom
Offset from the most stable computed form: 0 meV per atom

---

Record 4
A plane-wave DFT calculation with PBE was carried out for a relaxed structure of Ba2LaAg.

```
Ba2LaAg
1.0
0.000 4.181 4.181
4.181 0.000 4.181
4.181 4.181 0.000
Ba La Ag
2 1 1
Cartesian
0.000 0.000 0.000
2.091 2.091 2.091
6.272 6.272 6.272
4.181 4.181 4.181
```

Summary:
ΔH_f (0 K): 0.20 eV per atom
Spin magnetization: 0.001 μB/cell
Fermi-level density of states: 4.46 states/eV/cell
Uncorrected energy: -2.7033 eV/atom
Offset from the most stable computed form: 256 meV per atom